First-principles (PBEsol) data for crystalline CdSb2TeIr at its relaxed geometry, as listed in Alexandria via LeMat-Bulk.

Geometry as POSCAR:
```
CdSb2TeIr
1.0
5.011 0.000 0.000
0.000 5.011 0.000
0.000 0.000 5.646
Cd Sb Te Ir
1 2 1 1
Direct
0.000 0.000 0.000
0.000 0.500 0.500
0.500 0.000 0.500
0.500 0.500 0.000
0.500 0.500 0.500
```

Results
* M_tot: 0.00 μB per formula unit
* symmetry: P4/mmm


First-principles (PBEsol) data for crystalline Zr2CoAs at its relaxed geometry, as listed in Alexandria via LeMat-Bulk.

Geometry as POSCAR:
```
Zr2CoAs
1.0
0.000 3.196 3.196
3.196 0.000 3.196
3.196 3.196 0.000
Zr Co As
2 1 1
Direct
0.000 0.000 0.000
0.250 0.250 0.250
0.750 0.750 0.750
0.500 0.500 0.500
```

Results
* formation energy: 4 kJ per mole of atoms
* M_tot: 0.55 μB per formula unit
* symmetry: F-43m


First-principles (PBEsol) data for crystalline ScBe2H at its relaxed geometry, as listed in Alexandria via LeMat-Bulk.

Geometry as POSCAR:
```
ScBe2H
1.0
0.000 3.468 3.468
3.468 0.000 3.468
3.468 3.468 0.000
Sc Be H
2 4 2
Direct
0.125 0.125 0.125
0.875 0.875 0.875
0.000 0.500 0.500
0.500 0.000 0.500
0.500 0.500 0.000
0.500 0.500 0.500
0.375 0.375 0.375
0.625 0.625 0.625
```

Results
* M_tot: 0.00 μB per formula unit
* symmetry: Fd-3m


First-principles (PBEsol) data for crystalline Te2MoPbI at its relaxed geometry, as listed in Alexandria via LeMat-Bulk.

Geometry as POSCAR:
```
Te2MoPbI
1.0
5.734 0.000 0.000
0.000 5.734 0.000
0.000 0.000 5.888
Te Mo Pb I
2 1 1 1
Direct
0.000 0.500 0.000
0.500 0.000 0.000
0.000 0.000 0.500
0.500 0.500 0.000
0.500 0.500 0.500
```

Results
* M_tot: 4.21 μB per formula unit
* symmetry: P4/mmm


Number 1: E_tot -4.260 eV per atom. Number 2: E_tot -7.712 eV per atom. Number 3: E_tot -4.311 eV per atom. Number 4: E_tot -3.612 eV per atom.